1.
# HgSbP4 (PBE, optimized geometry)
data_HgSbP4
_cell_length_a 8.3565
_cell_length_b 8.3565
_cell_length_c 8.3565
_cell_angle_alpha 90.00
_cell_angle_beta 90.00
_cell_angle_gamma 90.00
_symmetry_space_group_name_H-M 'F -4 3 m'
_symmetry_Int_Tables_number 216
_symmetry_space_group_name_Hall 'F -4 2 3'
loop_
_atom_site_label
_atom_site_type_symbol
_atom_site_fract_x
_atom_site_fract_y
_atom_site_fract_z
Hg1 Hg 0.0000 0.0000 0.0000
Sb1 Sb 0.2500 0.2500 0.2500
P1 P 0.1556 0.1556 0.6556
# D(E_F)   0.498 states/eV per atom
# Formation energy (no corrections)   11.19 kcal/mol of atoms
# Total energy   -92.61 eV per cell

***

2.
# HgSb2P (PBE, optimized geometry)
data_HgSb2P
_cell_length_a 3.6768
_cell_length_b 3.6768
_cell_length_c 26.2260
_cell_angle_alpha 90.00
_cell_angle_beta 90.00
_cell_angle_gamma 120.00
_symmetry_space_group_name_H-M 'R -3 m'
_symmetry_Int_Tables_number 166
_symmetry_space_group_name_Hall '-R 3 2"'
loop_
_atom_site_label
_atom_site_type_symbol
_atom_site_fract_x
_atom_site_fract_y
_atom_site_fract_z
Hg1 Hg 0.0000 0.0000 0.0000
Sb1 Sb 0.0000 0.0000 0.2334
P1 P 0.0000 0.0000 0.5000
# Distance to the lowest polymorph of the same formula   0.0 meV per atom
# D(E_F)   0.176 states/eV per atom
# Formation energy (no corrections)   3.64 kcal/mol of atoms
# Total energy   -39.98 eV per cell

***

What is the formula in the first record? HgSbP4

***

What did the first record say?
# HgSbP4 (PBE, optimized geometry)
data_HgSbP4
_cell_length_a 8.3565
_cell_length_b 8.3565
_cell_length_c 8.3565
_cell_angle_alpha 90.00
_cell_angle_beta 90.00
_cell_angle_gamma 90.00
_symmetry_space_group_name_H-M 'F -4 3 m'
_symmetry_Int_Tables_number 216
_symmetry_space_group_name_Hall 'F -4 2 3'
loop_
_atom_site_label
_atom_site_type_symbol
_atom_site_fract_x
_atom_site_fract_y
_atom_site_fract_z
Hg1 Hg 0.0000 0.0000 0.0000
Sb1 Sb 0.2500 0.2500 0.2500
P1 P 0.1556 0.1556 0.6556
# D(E_F)   0.498 states/eV per atom
# Formation energy (no corrections)   11.19 kcal/mol of atoms
# Total energy   -92.61 eV per cell